1.
The following is a DFT calculation (GGA-PBE) of crystalline ZrTa2Se at its relaxed geometry.

As for the formation energy without anion corrections: 0.165 eV/atom.

The space group is I-42d (No. 122) and the conventional cell measures 3.944, 3.944 and 20.590 Å, with angles of 90.00, 90.00 and 90.00 degrees. The inequivalent atoms are Zr at (0.000, 0.000, 0.000), Ta at (0.247, 0.250, 0.625) and Se at (0.000, 0.000, 0.500).


2.
The following is a DFT calculation (GGA-PBE) of crystalline Zr4TaSe at its relaxed geometry.

As for the formation energy without anion corrections: 0.454 eV/atom.

The space group is F-43m (No. 216) and the conventional cell measures 8.087, 8.087 and 8.087 Å, with angles of 90.00, 90.00 and 90.00 degrees. The inequivalent atoms are Zr at (0.122, 0.122, 0.378), Ta at (0.250, 0.250, 0.750) and Se at (0.000, 0.000, 0.000).


3.
The following is a DFT calculation (GGA-PBE) of crystalline ZrTa2Se at its relaxed geometry.

As for the formation energy without anion corrections: -0.180 eV/atom.

The space group is Cmm2 (No. 35) and the conventional cell measures 3.569, 5.052 and 8.510 Å, with angles of 90.00, 90.00 and 90.00 degrees. The inequivalent atoms are Zr at (0.000, 0.000, 0.000), Ta at (0.000, 0.000, 0.524), Ta at (0.000, 0.500, 0.275) and Se at (0.000, 0.500, 0.759).


4.
The following is a DFT calculation (GGA-PBE) of crystalline ZrTa2Se at its relaxed geometry.

As for the formation energy without anion corrections: -0.215 eV/atom.

The space group is P4mm (No. 99) and the conventional cell measures 3.462, 3.462 and 6.342 Å, with angles of 90.00, 90.00 and 90.00 degrees. The inequivalent atoms are Zr at (0.000, 0.000, 0.000), Ta at (0.000, 0.000, 0.511), Ta at (0.500, 0.500, 0.732) and Se at (0.500, 0.500, 0.260).


5.
The following is a DFT calculation (GGA-PBE) of crystalline ZrTa2Se at its relaxed geometry.

As for the formation energy without anion corrections: 0.111 eV/atom.

The space group is I-4m2 (No. 119) and the conventional cell measures 4.271, 4.271 and 8.302 Å, with angles of 90.00, 90.00 and 90.00 degrees. The inequivalent atoms are Zr at (0.000, 0.000, 0.000), Ta at (0.000, 0.000, 0.500), Ta at (0.000, 0.500, 0.250) and Se at (0.000, 0.500, 0.750).


6.
The following is a DFT calculation (GGA-PBE) of crystalline Zr2TaSe at its relaxed geometry.

As for the formation energy without anion corrections: -0.075 eV/atom.

The space group is P2/m (No. 10) and the conventional cell measures 3.257, 4.690 and 5.406 Å, with angles of 90.00, 92.00 and 90.00 degrees. The inequivalent atoms are Zr at (0.196, 0.000, 0.243), Ta at (0.500, 0.500, 0.000) and Se at (0.000, 0.500, 0.500).


7.
The following is a DFT calculation (GGA-PBE) of crystalline Zr2TaSe at its relaxed geometry.

As for the formation energy without anion corrections: 0.147 eV/atom.

The space group is F-43m (No. 216) and the conventional cell measures 6.815, 6.815 and 6.815 Å, with angles of 90.00, 90.00 and 90.00 degrees. The inequivalent atoms are Zr at (0.000, 0.000, 0.000), Zr at (0.250, 0.250, 0.250), Ta at (0.000, 0.000, 0.500) and Se at (0.250, 0.250, 0.750).


8.
The following is a DFT calculation (GGA-PBE) of crystalline Zr2TaSe at its relaxed geometry.

As for the formation energy without anion corrections: -0.436 eV/atom.

The space group is P4/mmm (No. 123) and the conventional cell measures 3.528, 3.528 and 6.418 Å, with angles of 90.00, 90.00 and 90.00 degrees. The inequivalent atoms are Zr at (0.000, 0.000, 0.249), Ta at (0.500, 0.500, 0.000) and Se at (0.500, 0.500, 0.500).


9.
The following is a DFT calculation (GGA-PBE) of crystalline ZrTa2Se at its relaxed geometry.

As for the formation energy without anion corrections: 0.021 eV/atom.

The space group is R-3m (No. 166, hexagonal axes) and the conventional cell measures 3.2506, 3.2506 and 25.8400 Å, with angles of 90.00, 90.00 and 120.00 degrees. The inequivalent atoms are Zr at (0.0000, 0.0000, 0.0000), Ta at (0.0000, 0.0000, 0.2412) and Se at (0.0000, 0.0000, 0.5000).


10.
The following is a DFT calculation (GGA-PBE) of crystalline ZrTaSe at its relaxed geometry.

As for the formation energy without anion corrections: -0.343 eV/atom. For the energy relative to the lowest polymorph listed for this composition, the calculation gives 449 meV per atom.

The space group is P3m1 (No. 156) and the conventional cell measures 3.4637, 3.4637 and 5.8722 Å, with angles of 90.00, 90.00 and 120.00 degrees. The inequivalent atoms are Zr at (0.0000, 0.0000, 0.0000), Ta at (0.6667, 0.3333, 0.6354) and Se at (0.3333, 0.6667, 0.3344).


11.
The following is a DFT calculation (GGA-PBE) of crystalline ZrTa2Se at its relaxed geometry.

As for the formation energy without anion corrections: -0.178 eV/atom.

The space group is R3m (No. 160, hexagonal axes) and the conventional cell measures 3.3454, 3.3454 and 24.6089 Å, with angles of 90.00, 90.00 and 120.00 degrees. The inequivalent atoms are Zr at (0.0000, 0.0000, 0.0000), Ta at (0.0000, 0.0000, 0.2412), Ta at (0.0000, 0.0000, 0.4921) and Se at (0.0000, 0.0000, 0.7496).


12.
The following is a DFT calculation (GGA-PBE) of crystalline ZrTa2Se at its relaxed geometry.

As for the formation energy without anion corrections: -0.177 eV/atom.

The space group is Pm (No. 6) and the conventional cell measures 3.317, 4.499 and 5.352 Å, with angles of 90.00, 107.97 and 90.00 degrees. The inequivalent atoms are Zr at (0.000, 0.000, 0.000), Ta at (0.284, 0.500, 0.569), Ta at (0.738, 0.000, 0.476) and Se at (0.561, 0.500, 0.122).